# 1
A plane-wave DFT calculation with GGA-PBE was carried out for an optimized crystal structure of Tl2FeCu.

For the density of states at the Fermi level, the calculation gives 0.688 states/eV/atom. The excess energy over the best structure of this formula in the dataset is 0.055 eV per atom. As for the total magnetization: 0.645 μB/atom.

Lattice parameters (Å, degrees): 6.2313 6.2313 6.2313 151.31 136.62 52.84
Fractional coordinates of all 4 atoms:
Tl 0.0000 0.0000 0.0000
Tl 0.7192 0.2192 0.5000
Fe 0.2347 0.7347 0.5000
Cu 0.4137 0.4137 0.0000



# 2
A plane-wave DFT calculation with GGA-PBE was carried out for an optimized crystal structure of TlFe2Cu.

For the density of states at the Fermi level, the calculation gives 0.913 states/eV/atom. The excess energy over the best structure of this formula in the dataset is 0.172 eV per atom. As for the total magnetization: 1.250 μB/atom.

Lattice parameters (Å, degrees): 4.3690 4.3690 4.3690 60.00 60.00 60.00
Fractional coordinates of all 4 atoms:
Tl 0.0000 0.0000 0.0000
Fe 0.2500 0.2500 0.2500
Fe 0.7500 0.7500 0.7500
Cu 0.5000 0.5000 0.5000



# 3
A plane-wave DFT calculation with GGA-PBE was carried out for an optimized crystal structure of Tl2Fe2Cu.

For the density of states at the Fermi level, the calculation gives 0.777 states/eV/atom. The excess energy over the best structure of this formula in the dataset is 0.160 eV per atom. As for the total magnetization: 0.987 μB/atom.

Lattice parameters (Å, degrees): 7.7115 7.7115 3.0671 90.00 90.00 90.00
Fractional coordinates of all 10 atoms:
Tl 0.1852 0.3148 0.0000
Tl 0.3148 0.8148 0.0000
Tl 0.6852 0.1852 0.0000
Tl 0.8148 0.6852 0.0000
Fe 0.1093 0.6093 0.5000
Fe 0.3907 0.1093 0.5000
Fe 0.6093 0.8907 0.5000
Fe 0.8907 0.3907 0.5000
Cu 0.0000 0.0000 0.0000
Cu 0.5000 0.5000 0.0000



# 4
A plane-wave DFT calculation with GGA-PBE was carried out for an optimized crystal structure of TmFeCu.

For the density of states at the Fermi level, the calculation gives 1.271 states/eV/atom. As for the total magnetization: 0.454 μB/atom. As for the total energy: -17.3 eV/f.u.

Lattice parameters (Å, degrees): 5.1672 5.1672 5.1672 121.76 120.98 87.65
Fractional coordinates of all 6 atoms:
Tm 0.3716 0.1216 0.2500
Tm 0.6284 0.8784 0.7500
Fe 0.0000 0.0000 0.5000
Fe 0.0000 0.5000 0.0000
Cu 0.0000 0.5000 0.5000
Cu 0.5000 0.5000 0.0000



# 5
A plane-wave DFT calculation with GGA-PBE was carried out for an optimized crystal structure of TmFeCu.

For the density of states at the Fermi level, the calculation gives 0.731 states/eV/atom. As for the total magnetization: 0.583 μB/atom. As for the total energy: -16.8 eV/f.u.

Lattice parameters (Å, degrees): 9.8110 8.3218 6.1552 83.90 57.50 38.60
Fractional coordinates of all 12 atoms:
Tm 0.0351 0.7465 0.2535
Tm 0.2535 0.9649 0.0351
Tm 0.7465 0.0351 0.9649
Tm 0.9649 0.2535 0.7465
Fe 0.3261 0.6739 0.3261
Fe 0.4232 0.4232 0.5768
Fe 0.5768 0.5768 0.4232
Fe 0.6739 0.3261 0.6739
Cu 0.1723 0.4027 0.5973
Cu 0.4027 0.1723 0.8277
Cu 0.5973 0.8277 0.1723
Cu 0.8277 0.5973 0.4027



# 6
A plane-wave DFT calculation with GGA-PBE was carried out for an optimized crystal structure of Tm5Fe2Cu.

For the density of states at the Fermi level, the calculation gives 1.044 states/eV/atom. As for the total magnetization: 0.196 μB/atom. As for the total energy: -44.2 eV/f.u.

Lattice parameters (Å, degrees): 8.6266 8.6266 8.6266 131.12 131.12 71.62
Fractional coordinates of all 16 atoms:
Tm 0.0000 0.0000 0.0000
Tm 0.0344 0.5344 0.8500
Tm 0.1844 0.0344 0.5000
Tm 0.3156 0.8156 0.8500
Tm 0.4656 0.3156 0.5000
Tm 0.5000 0.5000 0.0000
Tm 0.5344 0.6844 0.5000
Tm 0.6844 0.1844 0.1500
Tm 0.8156 0.9656 0.5000
Tm 0.9656 0.4656 0.1500
Fe 0.1092 0.3908 0.5000
Fe 0.3908 0.8908 0.2816
Fe 0.6092 0.1092 0.7184
Fe 0.8908 0.6092 0.5000
Cu 0.2500 0.2500 0.0000
Cu 0.7500 0.7500 0.0000